Density functional theory data (PBE) for a relaxed DyErTa crystal.

Values from the calculation:
Formation enthalpy at 0 K ... 1286 meV per atom
Total energy ... -68.63 eV/cell

Lattice parameters (Å, degrees): 7.043 7.043 7.043 90.00 90.00 90.00
Space group F-43m (No. 216)
Asymmetric unit:
Dy  0.000  0.000  0.000
Er  0.250  0.250  0.250
Ta  0.000  0.000  0.500